one | Below is a relaxed SrY2Te2 crystal, with properties calculated at the PBE level.

Structure (extended XYZ):
```
5
Lattice="-2.317 2.317 7.670 2.317 -2.317 7.670 2.317 2.317 -7.670" Properties=species:S:1:pos:R:3 pbc="T T T"
Sr 0.000 0.000 0.000
Y 2.317 0.000 3.835
Y 0.000 2.317 3.835
Te 0.000 0.000 5.939
Te 0.000 0.000 9.401
```

two | Below is a relaxed SrY2Te2 crystal, with properties calculated at the PBE level.

Structure (extended XYZ):
```
10
Lattice="8.619 0.000 0.000 0.000 8.619 0.000 0.000 0.000 4.054" Properties=species:S:1:pos:R:3 pbc="T T T"
Sr 0.000 0.000 0.000
Sr 4.309 4.309 0.000
Y 1.276 3.034 2.027
Y 3.034 7.343 2.027
Y 5.585 1.276 2.027
Y 7.343 5.585 2.027
Te 1.245 5.555 0.000
Te 3.064 1.245 0.000
Te 5.555 7.374 0.000
Te 7.374 3.064 0.000
```

Relative energies with respect to the most stable structure, expressed in kJ/mol of atoms: one 8.1; two 0.0.